(1)
This record from Alexandria describes Y2Bi2Cl after structural relaxation. The functional is GGA-PBE.

Results
As for the uncorrected formation energy: -0.992 eV/atom. For the density of states at the Fermi level, the calculation gives 4.82 states/eV/f.u.

Cell: 7.9780 7.9780 4.4893 Å, 90.00 90.00 90.00°
With the nearest neighbours (Å) after each atom.
Fractional positions:
Y 0.1687 0.3313 0.0000  2 Cl 2.97, 2 Bi 3.13
Y 0.8313 0.6687 0.0000  2 Cl 2.97, 2 Bi 3.13
Y 0.6687 0.1687 0.0000  2 Cl 2.97, 2 Bi 3.13
Y 0.3313 0.8313 0.0000  2 Cl 2.97, 2 Bi 3.13
Bi 0.1384 0.6384 0.5000  1 Bi 3.12, 6 Y 3.13-3.33
Bi 0.3616 0.1384 0.5000  1 Bi 3.12, 6 Y 3.13-3.33
Bi 0.8616 0.3616 0.5000  1 Bi 3.12, 6 Y 3.13-3.33
Bi 0.6384 0.8616 0.5000  1 Bi 3.12, 6 Y 3.13-3.33
Cl 0.5000 0.5000 0.0000  4 Y 2.97
Cl 0.0000 0.0000 0.0000  4 Y 2.97

=====

(2)
This record from Alexandria describes NaAgBr3 after structural relaxation. The functional is GGA-PBE.

Results
As for the uncorrected formation energy: -0.733 eV/atom.

Cell: 10.1688 7.7615 8.3790 Å, 44.16 47.07 47.76°
With the nearest neighbours (Å) after each atom.
Fractional positions:
Na 0.5424 0.5840 0.1743  6 Br 2.97-3.24
Na 0.4576 0.4160 0.8257  6 Br 2.97-3.24
Ag 0.1266 0.1494 0.5355  4 Br 2.56-2.80
Ag 0.8734 0.8506 0.4645  4 Br 2.56-2.80
Br 0.5289 0.0977 0.6801  1 Ag 2.56
Br 0.4711 0.9023 0.3199  1 Ag 2.56
Br 0.7874 0.3969 0.7705  2 Ag 2.59-2.80
Br 0.0532 0.7121 0.8271  1 Ag 2.66, 1 Br 2.69
Br 0.2126 0.6031 0.2295  2 Ag 2.59-2.80
Br 0.9468 0.2879 0.1729  1 Ag 2.66, 1 Br 2.69

=====

VASP energy: -5.500; -2.571 (eV per atom)